Record 1
Material: Hf4In3Hg2
Method: DFT, PBE
State: relaxed

Geometry as CIF:
```
data_Hf4In3Hg2
_cell_length_a 13.756
_cell_length_b 3.195
_cell_length_c 9.392
_cell_angle_alpha 90.00
_cell_angle_beta 102.49
_cell_angle_gamma 90.00
_symmetry_space_group_name_H-M 'C 1 2/m 1'
_symmetry_Int_Tables_number 12
_symmetry_space_group_name_Hall '-C 2y'
loop_
_atom_site_label
_atom_site_fract_x
_atom_site_fract_y
_atom_site_fract_z
Hf1 0.010 0.000 0.178
Hf2 0.168 0.500 0.390
In1 0.000 0.000 0.500
In2 0.156 0.500 0.043
Hg1 0.170 0.500 0.726
```

Summary:
Its energy of formation from the pure elements is -0.005 eV per atom.

=====

Record 2
Material: Tc3AsCl
Method: DFT, PBE
State: relaxed

Geometry as CIF:
```
data_Tc3AsCl
_cell_length_a 4.390
_cell_length_b 4.390
_cell_length_c 4.390
_cell_angle_alpha 90.00
_cell_angle_beta 90.00
_cell_angle_gamma 90.00
_symmetry_space_group_name_H-M 'P m -3 m'
_symmetry_Int_Tables_number 221
_symmetry_space_group_name_Hall '-P 4 2 3'
loop_
_atom_site_label
_atom_site_fract_x
_atom_site_fract_y
_atom_site_fract_z
Tc1 0.000 0.000 0.500
As1 0.500 0.500 0.500
Cl1 0.000 0.000 0.000
```

Summary:
As for the formation energy without anion corrections: 1.230 eV/atom.

=====

Record 3
Material: Sc2Zn2Br
Method: DFT, PBE
State: relaxed

Geometry as CIF:
```
data_Sc2Zn2Br
_cell_length_a 7.128
_cell_length_b 7.128
_cell_length_c 4.228
_cell_angle_alpha 90.00
_cell_angle_beta 90.00
_cell_angle_gamma 90.00
_symmetry_space_group_name_H-M 'P 4/m b m'
_symmetry_Int_Tables_number 127
_symmetry_space_group_name_Hall '-P 4 2ab'
loop_
_atom_site_label
_atom_site_fract_x
_atom_site_fract_y
_atom_site_fract_z
Sc1 0.162 0.338 0.000
Zn1 0.128 0.628 0.500
Br1 0.000 0.000 0.000
```

Summary:
As for the formation energy without anion corrections: -0.400 eV/atom.

=====

Record 4
Material: Zr3B7Ru
Method: DFT, PBE
State: relaxed

Geometry as CIF:
```
data_Zr3B7Ru
_cell_length_a 3.363
_cell_length_b 14.989
_cell_length_c 9.131
_cell_angle_alpha 90.00
_cell_angle_beta 90.00
_cell_angle_gamma 90.00
_symmetry_space_group_name_H-M 'C m c m'
_symmetry_Int_Tables_number 63
_symmetry_space_group_name_Hall '-C 2c 2'
loop_
_atom_site_label
_atom_site_fract_x
_atom_site_fract_y
_atom_site_fract_z
Zr1 0.000 0.107 0.054
Zr2 0.000 0.248 0.750
B1 0.000 0.273 0.033
B2 0.000 0.366 0.151
B3 0.000 0.442 0.750
B4 0.000 0.484 0.092
Ru1 0.000 0.049 0.750
```

Summary:
Its energy of formation from the pure elements is -0.799 eV per atom.

=====

Record 5
Material: Hf2NbGa3
Method: DFT, PBE
State: relaxed

Geometry as CIF:
```
data_Hf2NbGa3
_cell_length_a 12.649
_cell_length_b 6.625
_cell_length_c 5.608
_cell_angle_alpha 90.00
_cell_angle_beta 90.00
_cell_angle_gamma 90.00
_symmetry_space_group_name_H-M 'C m c m'
_symmetry_Int_Tables_number 63
_symmetry_space_group_name_Hall '-C 2c 2'
loop_
_atom_site_label
_atom_site_fract_x
_atom_site_fract_y
_atom_site_fract_z
Hf1 0.174 0.147 0.250
Nb1 0.000 0.339 0.750
Ga1 0.000 0.000 0.000
Ga2 0.158 0.500 0.000
```

Summary:
Its energy of formation from the pure elements is -0.150 eV per atom.

=====

Record 6
Material: MgB14Mo
Method: DFT, PBE
State: relaxed

Geometry as CIF:
```
data_MgB14Mo
_cell_length_a 5.916
_cell_length_b 10.605
_cell_length_c 8.124
_cell_angle_alpha 90.00
_cell_angle_beta 90.00
_cell_angle_gamma 90.00
_symmetry_space_group_name_H-M 'I m m a'
_symmetry_Int_Tables_number 74
_symmetry_space_group_name_Hall '-I 2b 2'
loop_
_atom_site_label
_atom_site_fract_x
_atom_site_fract_y
_atom_site_fract_z
Mg1 0.000 0.250 0.139
B1 0.000 0.081 0.674
B2 0.000 0.127 0.883
B3 0.000 0.169 0.472
B4 0.157 0.068 0.335
B5 0.244 0.079 0.545
Mo1 0.250 0.250 0.750
```

Summary:
Its energy of formation from the pure elements is -0.023 eV per atom.

=====

Number 1: Fermi-level density of states 7.69 states/eV/f.u.. Number 2: Fermi-level density of states 5.09 states/eV/f.u.. Number 3: Fermi-level density of states 4.28 states/eV/f.u.. Number 4: Fermi-level density of states 4.22 states/eV/f.u.. Number 5: Fermi-level density of states 3.54 states/eV/f.u.. Number 6: Fermi-level density of states 2.69 states/eV/f.u..